No. 1
This record from Alexandria describes Tm4AgPdAu2 after structural relaxation. The functional is PBE-GGA.

The space group is R-3m (No. 166, hexagonal axes) and the conventional cell measures 4.9983, 4.9983 and 24.5167 Å, with angles of 90.00, 90.00 and 120.00 degrees. The distinct sites, in fractional coordinates, are Tm at (0.0000, 0.0000, 0.1218), Tm at (0.0000, 0.0000, 0.3721), Ag at (0.0000, 0.0000, 0.5000), Pd at (0.0000, 0.0000, 0.0000) and Au at (0.0000, 0.0000, 0.2462).

The calculation puts the theoretical density at 12.06 Mg/m³. The formation energy is -770 meV per atom. The total energy comes out at -4.8306 eV per atom.

No. 2
This record from Alexandria describes Tm4AgPd2Au after structural relaxation. The functional is PBE-GGA.

The space group is R-3m (No. 166, hexagonal axes) and the conventional cell measures 4.9711, 4.9711 and 24.3911 Å, with angles of 90.00, 90.00 and 120.00 degrees. The distinct sites, in fractional coordinates, are Tm at (0.0000, 0.0000, 0.1239), Tm at (0.0000, 0.0000, 0.3740), Ag at (0.0000, 0.0000, 0.5000), Pd at (0.0000, 0.0000, 0.2469) and Au at (0.0000, 0.0000, 0.0000).

The calculation puts the theoretical density at 11.39 Mg/m³. The formation energy is -769 meV per atom. The total energy comes out at -5.0688 eV per atom.

No. 3
This record from Alexandria describes UAgPdAu after structural relaxation. The functional is PBE-GGA.

The space group is F-43m (No. 216) and the conventional cell measures 6.854, 6.854 and 6.854 Å, with angles of 90.00, 90.00 and 90.00 degrees. The distinct sites, in fractional coordinates, are U at (0.000, 0.000, 0.000), Ag at (0.000, 0.000, 0.500), Pd at (0.250, 0.250, 0.750) and Au at (0.250, 0.250, 0.250).

The calculation puts the theoretical density at 13.40 Mg/m³. The formation energy is -114 meV per atom. The total energy comes out at -5.7662 eV per atom.

No. 4
This record from Alexandria describes Zn5Ag2PdAu2 after structural relaxation. The functional is PBE-GGA.

The space group is P4/mbm (No. 127) and the conventional cell measures 9.749, 9.749 and 3.574 Å, with angles of 90.00, 90.00 and 90.00 degrees. The distinct sites, in fractional coordinates, are Zn at (0.000, 0.500, 0.000), Zn at (0.122, 0.158, 0.000), Ag at (0.155, 0.655, 0.500), Pd at (0.000, 0.000, 0.500) and Au at (0.141, 0.359, 0.500).

The calculation puts the theoretical density at 10.20 Mg/m³. The formation energy is -132 meV per atom. The total energy comes out at -2.5144 eV per atom.

No. 5
This record from Alexandria describes Zn5AgPd2Au2 after structural relaxation. The functional is PBE-GGA.

The space group is P4/mbm (No. 127) and the conventional cell measures 9.595, 9.595 and 3.608 Å, with angles of 90.00, 90.00 and 90.00 degrees. The distinct sites, in fractional coordinates, are Zn at (0.000, 0.500, 0.000), Zn at (0.125, 0.169, 0.000), Ag at (0.000, 0.000, 0.500), Pd at (0.136, 0.364, 0.500) and Au at (0.157, 0.657, 0.500).

The calculation puts the theoretical density at 10.42 Mg/m³. The formation energy is -201 meV per atom. The total energy comes out at -2.8167 eV per atom.

No. 6
This record from Alexandria describes Zn2AgPdAu after structural relaxation. The functional is PBE-GGA.

The space group is P4/mmm (No. 123) and the conventional cell measures 4.775, 4.775 and 5.165 Å, with angles of 90.00, 90.00 and 90.00 degrees. The distinct sites, in fractional coordinates, are Zn at (0.000, 0.500, 0.000), Ag at (0.000, 0.000, 0.500), Pd at (0.500, 0.500, 0.500) and Au at (0.000, 0.000, 0.000).

The calculation puts the theoretical density at 7.64 Mg/m³. The formation energy is 516 meV per atom. The total energy comes out at -2.2578 eV per atom.

No. 7
This record from Alexandria describes Zn5Ag2Pd2Au after structural relaxation. The functional is PBE-GGA.

The space group is P4/mbm (No. 127) and the conventional cell measures 9.576, 9.576 and 3.650 Å, with angles of 90.00, 90.00 and 90.00 degrees. The distinct sites, in fractional coordinates, are Zn at (0.000, 0.500, 0.000), Zn at (0.093, 0.186, 0.000), Ag at (0.167, 0.667, 0.500), Pd at (0.128, 0.372, 0.500) and Au at (0.000, 0.000, 0.500).

The calculation puts the theoretical density at 9.45 Mg/m³. The formation energy is -195 meV per atom. The total energy comes out at -2.7685 eV per atom.

No. 8
This record from Alexandria describes ZrAgPdAu2 after structural relaxation. The functional is PBE-GGA.

The space group is P4/mmm (No. 123) and the conventional cell measures 4.952, 4.952 and 4.893 Å, with angles of 90.00, 90.00 and 90.00 degrees. The distinct sites, in fractional coordinates, are Zr at (0.000, 0.000, 0.000), Ag at (0.500, 0.500, 0.500), Pd at (0.500, 0.500, 0.000) and Au at (0.000, 0.500, 0.500).

The calculation puts the theoretical density at 9.68 Mg/m³. The formation energy is 795 meV per atom. The total energy comes out at -3.8341 eV per atom.

No. 9
This record from Alexandria describes ZrAgPdAu after structural relaxation. The functional is PBE-GGA.

The space group is F-43m (No. 216) and the conventional cell measures 6.632, 6.632 and 6.632 Å, with angles of 90.00, 90.00 and 90.00 degrees. The distinct sites, in fractional coordinates, are Zr at (0.000, 0.000, 0.000), Ag at (0.000, 0.000, 0.500), Pd at (0.250, 0.250, 0.750) and Au at (0.250, 0.250, 0.250).

The calculation puts the theoretical density at 11.44 Mg/m³. The formation energy is -410 meV per atom. The total energy comes out at -5.3773 eV per atom.

No. 10
This record from Alexandria describes PmAg4Au4 after structural relaxation. The functional is PBE-GGA.

The space group is I4/mmm (No. 139) and the conventional cell measures 8.869, 8.869 and 4.441 Å, with angles of 90.00, 90.00 and 90.00 degrees. The distinct sites, in fractional coordinates, are Pm at (0.000, 0.000, 0.000), Ag at (0.000, 0.341, 0.000) and Au at (0.170, 0.170, 0.500).

The calculation puts the theoretical density at 12.97 Mg/m³. The formation energy is -204 meV per atom. The total energy comes out at -3.4559 eV per atom.

No. 11
This record from Alexandria describes PmAg2Au4 after structural relaxation. The functional is PBE-GGA.

The space group is C2/m (No. 12) and the conventional cell measures 9.030, 7.237 and 5.404 Å, with angles of 90.00, 126.59 and 90.00 degrees. The distinct sites, in fractional coordinates, are Pm at (0.000, 0.000, 0.000), Ag at (0.000, 0.500, 0.249) and Au at (0.196, 0.196, 0.696).

The calculation puts the theoretical density at 13.45 Mg/m³. The formation energy is -385 meV per atom. The total energy comes out at -3.7508 eV per atom.

No. 12
This record from Alexandria describes Pm3Ag2Au3 after structural relaxation. The functional is PBE-GGA.

The space group is Cmcm (No. 63) and the conventional cell measures 4.584, 11.107 and 15.117 Å, with angles of 90.00, 90.00 and 90.00 degrees. The distinct sites, in fractional coordinates, are Pm at (0.000, 0.080, 0.103), Pm at (0.000, 0.347, 0.250), Ag at (0.000, 0.219, 0.605), Au at (0.000, 0.381, 0.750) and Au at (0.000, 0.391, 0.046).

The calculation puts the theoretical density at 10.71 Mg/m³. The value obtained for the energy above the most stable polymorph in this dataset is 0.000 eV per atom. The formation energy is -580 meV per atom. The total energy comes out at -4.3035 eV per atom.

No. 13
This record from Alexandria describes Pm3Ag2Au6 after structural relaxation. The functional is PBE-GGA.

The space group is I4/mmm (No. 139) and the conventional cell measures 4.321, 4.321 and 26.998 Å, with angles of 90.00, 90.00 and 90.00 degrees. The distinct sites, in fractional coordinates, are Pm at (0.000, 0.000, 0.000), Pm at (0.000, 0.000, 0.200), Ag at (0.000, 0.000, 0.452), Au at (0.000, 0.000, 0.312) and Au at (0.000, 0.500, 0.113).

The calculation puts the theoretical density at 12.07 Mg/m³. The formation energy is -478 meV per atom. The total energy comes out at -4.0795 eV per atom.

No. 14
This record from Alexandria describes PmAg2Au6 after structural relaxation. The functional is PBE-GGA.

The space group is C2/c (No. 15) and the conventional cell measures 13.577, 10.268 and 5.166 Å, with angles of 90.00, 99.29 and 90.00 degrees. The distinct sites, in fractional coordinates, are Pm at (0.000, 0.137, 0.250), Ag at (0.164, 0.368, 0.097), Au at (0.057, 0.384, 0.544), Au at (0.119, 0.122, 0.800) and Au at (0.231, 0.123, 0.354).

The calculation puts the theoretical density at 14.42 Mg/m³. The value obtained for the energy above the most stable polymorph in this dataset is 0.000 eV per atom. The formation energy is -243 meV per atom. The total energy comes out at -3.5894 eV per atom.

No. 15
This record from Alexandria describes Pm2Ag5Au after structural relaxation. The functional is PBE-GGA.

The space group is Cmcm (No. 63) and the conventional cell measures 4.097, 17.857 and 9.915 Å, with angles of 90.00, 90.00 and 90.00 degrees. The distinct sites, in fractional coordinates, are Pm at (0.000, 0.000, 0.000), Pm at (0.000, 0.176, 0.250), Ag at (0.000, 0.210, 0.604), Ag at (0.000, 0.366, 0.526), Ag at (0.000, 0.381, 0.250) and Au at (0.000, 0.462, 0.750).

The calculation puts the theoretical density at 9.40 Mg/m³. The formation energy is -256 meV per atom. The total energy comes out at -3.6355 eV per atom.

No. 16
This record from Alexandria describes Pm2Ag3Au2 after structural relaxation. The functional is PBE-GGA.

The space group is C2/m (No. 12) and the conventional cell measures 10.081, 4.500 and 7.301 Å, with angles of 90.00, 107.46 and 90.00 degrees. The distinct sites, in fractional coordinates, are Pm at (0.131, 0.000, 0.269), Ag at (0.000, 0.500, 0.500), Ag at (0.119, 0.500, 0.931) and Au at (0.166, 0.000, 0.702).

The calculation puts the theoretical density at 10.59 Mg/m³. The value obtained for the energy above the most stable polymorph in this dataset is 0.000 eV per atom. The formation energy is -489 meV per atom. The total energy comes out at -4.0045 eV per atom.

No. 17
This record from Alexandria describes PmAg6Au after structural relaxation. The functional is PBE-GGA.

The space group is R-3m (No. 166, hexagonal axes) and the conventional cell measures 7.2930, 7.2930 and 11.8614 Å, with angles of 90.00, 90.00 and 120.00 degrees. The distinct sites, in fractional coordinates, are Pm at (0.0000, 0.0000, 0.0000), Ag at (0.0812, 0.5406, 0.8916) and Au at (0.0000, 0.0000, 0.5000).

The calculation puts the theoretical density at 9.02 Mg/m³. The formation energy is 125 meV per atom. The total energy comes out at -3.0173 eV per atom.

No. 18
This record from Alexandria describes PmAgAu2 after structural relaxation. The functional is PBE-GGA.

The space group is P4/mmm (No. 123) and the conventional cell measures 4.690, 4.690 and 3.980 Å, with angles of 90.00, 90.00 and 90.00 degrees. The distinct sites, in fractional coordinates, are Pm at (0.000, 0.000, 0.000), Ag at (0.500, 0.500, 0.000) and Au at (0.000, 0.500, 0.500).

The calculation puts the theoretical density at 12.27 Mg/m³. The value obtained for the energy above the most stable polymorph in this dataset is 0.163 eV per atom. The formation energy is -413 meV per atom. The total energy comes out at -3.9520 eV per atom.

No. 19
This record from Alexandria describes Pm2Ag3Au4 after structural relaxation. The functional is PBE-GGA.

The space group is C2/m (No. 12) and the conventional cell measures 8.518, 4.954 and 9.211 Å, with angles of 90.00, 95.09 and 90.00 degrees. The distinct sites, in fractional coordinates, are Pm at (0.146, 0.000, 0.270), Ag at (0.000, 0.500, 0.500), Ag at (0.201, 0.000, 0.920), Au at (0.031, 0.500, 0.850) and Au at (0.176, 0.000, 0.598).

The calculation puts the theoretical density at 12.02 Mg/m³. The formation energy is -478 meV per atom. The total energy comes out at -3.9406 eV per atom.

No. 20
This record from Alexandria describes Pm2Ag2Au after structural relaxation. The functional is PBE-GGA.

The space group is C2/m (No. 12) and the conventional cell measures 11.002, 4.188 and 6.785 Å, with angles of 90.00, 127.93 and 90.00 degrees. The distinct sites, in fractional coordinates, are Pm at (0.223, 0.000, 0.223), Ag at (0.000, 0.500, 0.205) and Au at (0.000, 0.000, 0.500).

The calculation puts the theoretical density at 9.46 Mg/m³. The value obtained for the energy above the most stable polymorph in this dataset is 0.069 eV per atom. The formation energy is -370 meV per atom. The total energy comes out at -4.0665 eV per atom.